DFT (PBE) results for a geometry-optimized InReAu2 structure.

abc: 9.654 9.654 9.654
angles: 17.58 17.58 17.58
Positions (direct):
In 0.000 0.000 0.000
Re 0.500 0.500 0.500
Au 0.246 0.246 0.246
Au 0.754 0.754 0.754

The space-group type is R-3m (166). The calculation puts the uncorrected energy at -5.0137 eV/atom. The value obtained for the formation energy is 0.42 eV/atom.